## YAsPI2 (PBE)

Data for a relaxed structure of YAsPI2.

Structure (POSCAR):
```
YAsPI2
1.0
5.3666 0.0000 0.0000
0.0000 5.3666 0.0000
0.0000 0.0000 4.9388
Y As P I
1 1 1 2
Direct
0.0000 0.0000 0.0000 Y
0.5000 0.5000 0.0000 As
0.5000 0.5000 0.5000 P
0.0000 0.5000 0.5000 I
0.5000 0.0000 0.5000 I
```

- Final energy: -3.76 eV per atom
- Fermi-level density of states: 0.71 states/eV per atom



## La5Si2Bi2 (PBE)

Data for a relaxed structure of La5Si2Bi2.

Structure (POSCAR):
```
La5Si2Bi2
1.0
8.0776 -4.1617 0.0000
8.0776 4.1617 0.0000
0.0000 0.0000 8.3665
La Si Bi
10 4 4
Direct
0.0000 0.0000 0.0000 La
0.0493 0.6972 0.6756 La
0.1972 0.5493 0.1756 La
0.3028 0.9507 0.6756 La
0.4507 0.8028 0.1756 La
0.5000 0.5000 0.5000 La
0.5493 0.1972 0.8244 La
0.6972 0.0493 0.3244 La
0.8028 0.4507 0.8244 La
0.9507 0.3028 0.3244 La
0.1134 0.8866 0.3864 Si
0.3866 0.6134 0.8864 Si
0.6134 0.3866 0.1136 Si
0.8866 0.1134 0.6136 Si
0.2097 0.2097 0.0000 Bi
0.2903 0.2903 0.5000 Bi
0.7097 0.7097 0.5000 Bi
0.7903 0.7903 0.0000 Bi
```

- Final energy: -5.62 eV per atom
- Fermi-level density of states: 0.99 states/eV per atom



## La2TaFe (PBE)

Data for a relaxed structure of La2TaFe.

Structure (POSCAR):
```
La2TaFe
1.0
-1.6237 1.9028 8.4137
1.6237 -1.9028 8.4137
1.6237 1.9028 -8.4137
La Ta Fe
2 1 1
Direct
0.1531 0.1531 0.0000 La
0.8469 0.8469 0.0000 La
0.5000 0.0000 0.5000 Ta
0.0000 0.5000 0.5000 Fe
```

- Final energy: -7.23 eV per atom
- ΔH_f (0 K): 0.315 eV/atom
- Fermi-level density of states: 1.36 states/eV per atom
- Energy relative to the lowest polymorph listed for this composition: 134.3 meV per atom



## InFe2Si (PBE)

Data for a relaxed structure of InFe2Si.

Structure (POSCAR):
```
InFe2Si
1.0
4.0074 -1.4715 0.0000
4.0074 1.4715 0.0000
-1.0980 0.0000 4.9891
In Fe Si
1 2 1
Direct
0.0000 0.0000 0.0000 In
0.2392 0.2392 0.6842 Fe
0.7608 0.7608 0.3158 Fe
0.5000 0.5000 0.5000 Si
```

- Final energy: -6.09 eV per atom
- Fermi-level density of states: 0.78 states/eV per atom



## CaAcInPt (PBE)

Data for a relaxed structure of CaAcInPt.

Structure (POSCAR):
```
CaAcInPt
1.0
0.0000 3.8221 3.8221
3.8221 0.0000 3.8221
3.8221 3.8221 0.0000
Ca Ac In Pt
1 1 1 1
Direct
0.0000 0.0000 0.0000 Ca
0.5000 0.5000 0.5000 Ac
0.7500 0.7500 0.7500 In
0.2500 0.2500 0.2500 Pt
```

- Final energy: -4.33 eV per atom
- ΔH_f (0 K): -0.604 eV/atom
- Fermi-level density of states: 0.83 states/eV per atom



## GaPbSe3 (PBE)

Data for a relaxed structure of GaPbSe3.

Structure (POSCAR):
```
GaPbSe3
1.0
5.0636 0.0000 0.0000
1.8803 7.4383 0.0000
0.4091 0.5275 7.8721
Ga Pb Se
2 2 6
Direct
0.0585 0.3186 0.1358 Ga
0.9415 0.6814 0.8642 Ga
0.1065 0.7130 0.3573 Pb
0.8935 0.2870 0.6427 Pb
0.1569 0.9316 0.8876 Se
0.2780 0.3847 0.8607 Se
0.3258 0.2986 0.3841 Se
0.6742 0.7014 0.6159 Se
0.7220 0.6153 0.1393 Se
0.8431 0.0684 0.1124 Se
```

- Final energy: -3.93 eV per atom
- Energy relative to the lowest polymorph listed for this composition: 0.0 meV per atom



## SrTl2Os (PBE)

Data for a relaxed structure of SrTl2Os.

Structure (POSCAR):
```
SrTl2Os
1.0
3.5378 0.0000 0.0000
0.0000 4.6881 0.0000
-1.6137 0.0000 6.1253
Sr Tl Os
1 2 1
Direct
0.0000 0.0000 0.0000 Sr
0.3546 0.5000 0.7129 Tl
0.6454 0.5000 0.2871 Tl
0.5000 0.0000 0.5000 Os
```

- Final energy: -3.91 eV per atom
- ΔH_f (0 K): 0.505 eV/atom
- Fermi-level density of states: 0.82 states/eV per atom



## InAuS2 (PBE)

Data for a relaxed structure of InAuS2.

Structure (POSCAR):
```
InAuS2
1.0
3.8722 0.0000 0.0000
0.0000 3.8722 0.0000
0.0000 0.0000 5.3541
In Au S
1 1 2
Direct
0.0000 0.0000 0.0000 In
0.5000 0.5000 0.5000 Au
0.0000 0.0000 0.5000 S
0.5000 0.5000 0.0000 S
```

- Final energy: -3.71 eV per atom
- Fermi-level density of states: 0.37 states/eV per atom